# Ac3Cd4Pb4 | Alexandria via LeMat-Bulk | PBE-GGA | optimized geometry
data_Ac3Cd4Pb4
_space_group_name_H-M_alt 'I m m m'
_space_group_IT_number 71
_space_group_name_Hall '-I 2 2'
_cell_length_a 4.684
_cell_length_b 5.075
_cell_length_c 29.598
_cell_angle_alpha 90.00
_cell_angle_beta 90.00
_cell_angle_gamma 90.00
loop_
_atom_site_label
_atom_site_type_symbol
_atom_site_fract_x
_atom_site_fract_y
_atom_site_fract_z
_atom_site_occupancy
Ac1 Ac 0.000 0.000 0.000 1
Ac2 Ac 0.000 0.500 0.142 1
Cd1 Cd 0.000 0.000 0.454 1
Cd2 Cd 0.000 0.500 0.310 1
Pb1 Pb 0.000 0.000 0.253 1
Pb2 Pb 0.000 0.500 0.406 1
# ΔE_f ... -0.296 eV/atom
# Energy above the lowest structure with this stoichiometry ... 38 meV/atom
# Total magnetization ... 0.000 μB per formula unit
# E ... -3.10 eV/atom

# SnTe2Ru | Alexandria via LeMat-Bulk | PBE-GGA | optimized geometry
data_SnTe2Ru
_space_group_name_H-M_alt 'R -3 m'
_space_group_IT_number 166
_space_group_name_Hall '-R 3 2"'
_cell_length_a 3.7835
_cell_length_b 3.7835
_cell_length_c 28.0675
_cell_angle_alpha 90.00
_cell_angle_beta 90.00
_cell_angle_gamma 120.00
loop_
_atom_site_label
_atom_site_type_symbol
_atom_site_fract_x
_atom_site_fract_y
_atom_site_fract_z
_atom_site_occupancy
Sn1 Sn 0.0000 0.0000 0.0000 1
Te1 Te 0.0000 0.0000 0.1136 1
Ru1 Ru 0.0000 0.0000 0.5000 1
# Total magnetization ... 0.000 μB per formula unit
# Formation energy without anion corrections ... 0.02 eV per atom
# E ... -4.87 eV/atom

# NdPaSe4 | Alexandria via LeMat-Bulk | PBE-GGA | optimized geometry
data_NdPaSe4
_space_group_name_H-M_alt 'C m m m'
_space_group_IT_number 65
_space_group_name_Hall '-C 2 2'
_cell_length_a 9.431
_cell_length_b 9.592
_cell_length_c 4.340
_cell_angle_alpha 90.00
_cell_angle_beta 90.00
_cell_angle_gamma 90.00
loop_
_atom_site_label
_atom_site_type_symbol
_atom_site_fract_x
_atom_site_fract_y
_atom_site_fract_z
_atom_site_occupancy
Nd1 Nd 0.000 0.000 0.000 1
Pa1 Pa 0.000 0.500 0.500 1
Se1 Se 0.000 0.314 0.000 1
Se2 Se 0.208 0.000 0.500 1
# Energy above the lowest structure with this stoichiometry ... 81 meV/atom
# Total magnetization ... 0.115 μB per formula unit
# Formation energy without anion corrections ... -1.46 eV per atom
# E ... -6.16 eV/atom

# AgTeRh2 | Alexandria via LeMat-Bulk | PBE-GGA | optimized geometry
data_AgTeRh2
_space_group_name_H-M_alt 'P m m 2'
_space_group_IT_number 25
_cell_length_a 3.145
_cell_length_b 4.005
_cell_length_c 5.616
_cell_angle_alpha 90.00
_cell_angle_beta 90.00
_cell_angle_gamma 90.00
loop_
_space_group_symop_operation_xyz
'x,y,z'
'-x,-y,z'
'-x,y,z'
'x,-y,z'
loop_
_atom_site_label
_atom_site_type_symbol
_atom_site_fract_x
_atom_site_fract_y
_atom_site_fract_z
_atom_site_occupancy
Ag1 Ag 0.000 0.000 0.000 1
Te1 Te 0.500 0.500 0.664 1
Rh1 Rh 0.000 0.000 0.487 1
Rh2 Rh 0.500 0.500 0.208 1
# Total magnetization ... 0.000 μB per formula unit
# Formation energy without anion corrections ... 0.14 eV per atom
# E ... -5.03 eV/atom

# NbAl2TcPd | Alexandria via LeMat-Bulk | PBE-GGA | optimized geometry
data_NbAl2TcPd
_space_group_name_H-M_alt 'P 4/m m m'
_space_group_IT_number 123
_space_group_name_Hall '-P 4 2'
_cell_length_a 4.594
_cell_length_b 4.594
_cell_length_c 4.786
_cell_angle_alpha 90.00
_cell_angle_beta 90.00
_cell_angle_gamma 90.00
loop_
_atom_site_label
_atom_site_type_symbol
_atom_site_fract_x
_atom_site_fract_y
_atom_site_fract_z
_atom_site_occupancy
Nb1 Nb 0.000 0.000 0.000 1
Al1 Al 0.000 0.500 0.500 1
Tc1 Tc 0.500 0.500 0.500 1
Pd1 Pd 0.500 0.500 0.000 1
# ΔE_f ... 0.830 eV/atom
# Total magnetization ... 2.020 μB per formula unit
# E ... -5.79 eV/atom

# CsSnPt2 | Alexandria via LeMat-Bulk | PBE-GGA | optimized geometry
data_CsSnPt2
_space_group_name_H-M_alt 'R -3 m'
_space_group_IT_number 166
_space_group_name_Hall '-R 3 2"'
_cell_length_a 4.6700
_cell_length_b 4.6700
_cell_length_c 19.6542
_cell_angle_alpha 90.00
_cell_angle_beta 90.00
_cell_angle_gamma 120.00
loop_
_atom_site_label
_atom_site_type_symbol
_atom_site_fract_x
_atom_site_fract_y
_atom_site_fract_z
_atom_site_occupancy
Cs1 Cs 0.0000 0.0000 0.0000 1
Sn1 Sn 0.0000 0.0000 0.5000 1
Pt1 Pt 0.0000 0.0000 0.1827 1
# ΔE_f ... -0.350 eV/atom
# Total magnetization ... 0.000 μB per formula unit
# E ... -4.58 eV/atom

# LiTlCo2 | Alexandria via LeMat-Bulk | PBE-GGA | optimized geometry
data_LiTlCo2
_space_group_name_H-M_alt 'F -4 3 m'
_space_group_IT_number 216
_space_group_name_Hall 'F -4 2 3'
_cell_length_a 6.081
_cell_length_b 6.081
_cell_length_c 6.081
_cell_angle_alpha 90.00
_cell_angle_beta 90.00
_cell_angle_gamma 90.00
loop_
_atom_site_label
_atom_site_type_symbol
_atom_site_fract_x
_atom_site_fract_y
_atom_site_fract_z
_atom_site_occupancy
Li1 Li 0.000 0.000 0.000 1
Tl1 Tl 0.250 0.250 0.750 1
Co1 Co 0.000 0.000 0.500 1
Co2 Co 0.250 0.250 0.250 1
# ΔE_f ... 0.267 eV/atom
# Total magnetization ... 3.034 μB per formula unit
# E ... -4.36 eV/atom

# KBaEu | Alexandria via LeMat-Bulk | PBE-GGA | optimized geometry
data_KBaEu
_space_group_name_H-M_alt 'P 3 m 1'
_space_group_IT_number 156
_cell_length_a 4.2917
_cell_length_b 4.2917
_cell_length_c 11.0108
_cell_angle_alpha 90.00
_cell_angle_beta 90.00
_cell_angle_gamma 120.00
loop_
_space_group_symop_operation_xyz
'x,y,z'
'-y,x-y,z'
'-x+y,-x,z'
'-y,-x,z'
'-x+y,y,z'
'x,x-y,z'
loop_
_atom_site_label
_atom_site_type_symbol
_atom_site_fract_x
_atom_site_fract_y
_atom_site_fract_z
_atom_site_occupancy
K1 K 0.0000 0.0000 0.0000 1
Ba1 Ba 0.3333 0.6667 0.6444 1
Eu1 Eu 0.6667 0.3333 0.3358 1
# ΔE_f ... 0.116 eV/atom
# Energy above the lowest structure with this stoichiometry ... 0 meV/atom
# Total magnetization ... 7.616 μB per formula unit
# E ... -4.32 eV/atom

# PaZnIr | Alexandria via LeMat-Bulk | PBE-GGA | optimized geometry
data_PaZnIr
_space_group_name_H-M_alt 'P 1 21/m 1'
_space_group_IT_number 11
_cell_length_a 7.224
_cell_length_b 3.894
_cell_length_c 12.358
_cell_angle_alpha 90.00
_cell_angle_beta 90.21
_cell_angle_gamma 90.00
loop_
_space_group_symop_operation_xyz
'x,y,z'
'-x,-y,-z'
'-x,y+1/2,-z'
'x,-y+1/2,z'
loop_
_atom_site_label
_atom_site_type_symbol
_atom_site_fract_x
_atom_site_fract_y
_atom_site_fract_z
_atom_site_occupancy
Pa1 Pa 0.053 0.250 0.375 1
Pa2 Pa 0.170 0.250 0.081 1
Pa3 Pa 0.439 0.750 0.713 1
Zn1 Zn 0.109 0.250 0.798 1
Zn2 Zn 0.381 0.750 0.459 1
Zn3 Zn 0.493 0.250 0.918 1
Ir1 Ir 0.232 0.250 0.588 1
Ir2 Ir 0.236 0.750 0.923 1
Ir3 Ir 0.266 0.750 0.251 1
# ΔE_f ... -0.660 eV/atom
# Total magnetization ... 0.000 μB per formula unit
# E ... -7.20 eV/atom

# Na2PaSeO6 | Alexandria via LeMat-Bulk | PBE-GGA | optimized geometry
data_Na2PaSeO6
_space_group_name_H-M_alt 'R -3'
_space_group_IT_number 148
_space_group_name_Hall '-R 3'
_cell_length_a 5.6890
_cell_length_b 5.6890
_cell_length_c 14.0134
_cell_angle_alpha 90.00
_cell_angle_beta 90.00
_cell_angle_gamma 120.00
loop_
_atom_site_label
_atom_site_type_symbol
_atom_site_fract_x
_atom_site_fract_y
_atom_site_fract_z
_atom_site_occupancy
Na1 Na 0.0000 0.0000 0.2461 1
Pa1 Pa 0.0000 0.0000 0.5000 1
Se1 Se 0.0000 0.0000 0.0000 1
O1 O 0.0199 0.4356 0.7467 1
# Total magnetization ... 0.000 μB per formula unit
# Formation energy without anion corrections ... -1.94 eV per atom
# E ... -6.48 eV/atom

# Cr2FeNi5 | Alexandria via LeMat-Bulk | PBE-GGA | optimized geometry
data_Cr2FeNi5
_space_group_name_H-M_alt 'C 1 m 1'
_space_group_IT_number 8
_cell_length_a 8.257
_cell_length_b 4.984
_cell_length_c 5.973
_cell_angle_alpha 90.00
_cell_angle_beta 132.41
_cell_angle_gamma 90.00
loop_
_space_group_symop_operation_xyz
'x,y,z'
'x,-y,z'
'x+1/2,y+1/2,z'
'x+1/2,-y+1/2,z'
loop_
_atom_site_label
_atom_site_type_symbol
_atom_site_fract_x
_atom_site_fract_y
_atom_site_fract_z
_atom_site_occupancy
Cr1 Cr 0.000 0.000 0.000 1
Cr2 Cr 0.007 0.500 0.000 1
Fe1 Fe 0.433 0.000 0.333 1
Ni1 Ni 0.171 0.248 0.828 1
Ni2 Ni 0.257 0.247 0.499 1
Ni3 Ni 0.422 0.500 0.332 1
# ΔE_f ... 0.028 eV/atom
# Total magnetization ... 4.367 μB per formula unit
# E ... -7.05 eV/atom

# AcTeBr2 | Alexandria via LeMat-Bulk | PBE-GGA | optimized geometry
data_AcTeBr2
_space_group_name_H-M_alt 'R -3 m'
_space_group_IT_number 166
_space_group_name_Hall '-R 3 2"'
_cell_length_a 3.9709
_cell_length_b 3.9709
_cell_length_c 36.0587
_cell_angle_alpha 90.00
_cell_angle_beta 90.00
_cell_angle_gamma 120.00
loop_
_atom_site_label
_atom_site_type_symbol
_atom_site_fract_x
_atom_site_fract_y
_atom_site_fract_z
_atom_site_occupancy
Ac1 Ac 0.0000 0.0000 0.0000 1
Te1 Te 0.0000 0.0000 0.5000 1
Br1 Br 0.0000 0.0000 0.3915 1
# Energy above the lowest structure with this stoichiometry ... 562 meV/atom
# Total magnetization ... 0.457 μB per formula unit
# Formation energy without anion corrections ... -0.89 eV per atom
# E ... -3.53 eV/atom

What is the formula in the eighth record? KBaEu